No. 1
YPuGePb after structural relaxation. Source: Alexandria, functional PBE-GGA.

Values from the calculation:
Formation energy   -310 meV per atom
SG   F-43m
Raw total energy   -30.36 eV/cell

a = 5.2679 Å, b = 5.2679 Å, c = 5.2679 Å
α = 60.00°, β = 60.00°, γ = 60.00°
Fractional positions:
1 Pu 0.2500 0.2500 0.2500
2 Y 0.7500 0.7500 0.7500
3 Pb 0.0000 0.0000 0.0000
4 Ge 0.5000 0.5000 0.5000



No. 2
HfReSi after structural relaxation. Source: Alexandria, functional PBE-GGA.

Values from the calculation:
Uncorrected formation energy   -0.55 eV/atom
SG   I4/mmm
Raw total energy   -117.84 eV/cell

a = 3.9181 Å, b = 3.9181 Å, c = 13.2569 Å
α = 90.00°, β = 90.00°, γ = 90.00°
Fractional positions:
1 Re 0.5000 0.0000 0.5000
2 Re 0.5000 0.0000 0.0000
3 Re 0.0000 0.5000 0.5000
4 Re 0.0000 0.5000 0.0000
5 Hf 0.0000 0.0000 0.1617
6 Hf 0.0000 0.0000 0.8383
7 Hf 0.5000 0.5000 0.6617
8 Hf 0.5000 0.5000 0.3383
9 Si 0.5000 0.5000 0.8733
10 Si 0.0000 0.0000 0.6267
11 Si 0.5000 0.5000 0.1267
12 Si 0.0000 0.0000 0.3733



No. 3
CrCuAs after structural relaxation. Source: Alexandria, functional PBE-GGA.

Values from the calculation:
Formation energy   115 meV per atom
SG   F-43m
Raw total energy   -18.02 eV/cell

a = 4.1379 Å, b = 4.1379 Å, c = 4.1379 Å
α = 60.00°, β = 60.00°, γ = 60.00°
Fractional positions:
1 Cu 0.5000 0.5000 0.5000
2 Cr 0.0000 0.0000 0.0000
3 As 0.7500 0.7500 0.7500



No. 4
Hg2PbBr after structural relaxation. Source: Alexandria, functional PBE-GGA.

Values from the calculation:
Uncorrected formation energy   -0.18 eV/atom
SG   Pmmm
Energy above the lowest structure with this stoichiometry   32 meV per atom
Raw total energy   -6.70 eV/cell

a = 3.8059 Å, b = 5.2068 Å, c = 5.9093 Å
α = 90.00°, β = 90.00°, γ = 90.00°
Fractional positions:
1 Br 0.0000 0.5000 0.5000
2 Hg 0.5000 0.5000 0.0000
3 Hg 0.0000 0.0000 0.0000
4 Pb 0.5000 0.0000 0.5000



No. 5
Sc3Al3Ga after structural relaxation. Source: Alexandria, functional PBE-GGA.

Values from the calculation:
Formation energy   -466 meV per atom
SG   Imm2
Raw total energy   -36.51 eV/cell

a = 4.3657 Å, b = 3.2897 Å, c = 9.7709 Å
α = 99.69°, β = 102.91°, γ = 90.00°
Fractional positions:
1 Ga 0.4326 0.4326 0.8652
2 Sc 0.6992 0.1992 0.3984
3 Sc 0.9994 0.9994 0.9988
4 Sc 0.3017 0.8017 0.6034
5 Al 0.8572 0.3572 0.7144
6 Al 0.1427 0.6427 0.2855
7 Al 0.5671 0.5671 0.1343



No. 6
B2C after structural relaxation. Source: Alexandria, functional PBE-GGA.

Values from the calculation:
Formation energy   565 meV per atom
SG   P3m1
Energy above the lowest structure with this stoichiometry   380 meV per atom
Raw total energy   -83.53 eV/cell

a = 2.6693 Å, b = 2.6693 Å, c = 15.4375 Å
α = 90.00°, β = 90.00°, γ = 120.00°
Fractional positions:
1 B 0.3333 0.6667 0.7149
2 B 0.6667 0.3333 0.7402
3 B 0.6667 0.3333 0.1921
4 B 0.6667 0.3333 0.8474
5 B 0.3333 0.6667 0.4810
6 B 0.0000 0.0000 0.3720
7 B 0.0000 0.0000 0.9136
8 B 0.6667 0.3333 0.3016
9 C 0.3333 0.6667 0.1478
10 C 0.0000 0.0000 0.0154
11 C 0.3333 0.6667 0.0508
12 C 0.0000 0.0000 0.4733



No. 7
Ac2LaIrO8 after structural relaxation. Source: Alexandria, functional PBE-GGA.

Values from the calculation:
Uncorrected formation energy   -2.25 eV/atom
SG   P2/m
Raw total energy   -88.71 eV/cell

a = 4.5690 Å, b = 5.5949 Å, c = 7.4196 Å
α = 90.00°, β = 90.00°, γ = 95.73°
Fractional positions:
1 Ac 0.5000 0.5000 0.2413
2 Ac 0.5000 0.5000 0.7587
3 O 0.3799 0.1543 0.0000
4 O 0.0740 0.7744 0.8001
5 O 0.9260 0.2256 0.1999
6 O 0.5624 0.7482 0.5000
7 O 0.4376 0.2518 0.5000
8 O 0.0740 0.7744 0.1999
9 O 0.9260 0.2256 0.8001
10 O 0.6201 0.8456 0.0000
11 Ir 0.0000 0.0000 0.0000
12 La 0.0000 0.0000 0.5000



No. 8
AlInS2 after structural relaxation. Source: Alexandria, functional PBE-GGA.

Values from the calculation:
Uncorrected formation energy   -0.37 eV/atom
SG   P4/mmm
Raw total energy   -16.22 eV/cell

a = 3.8576 Å, b = 3.8576 Å, c = 5.5090 Å
α = 90.00°, β = 90.00°, γ = 90.00°
Fractional positions:
1 S 0.0000 0.0000 0.0000
2 S 0.5000 0.5000 0.5000
3 In 0.5000 0.5000 0.0000
4 Al 0.0000 0.0000 0.5000